Computed, not measured: an optimized crystal structure of Nd2AlCoO6 at the PBE with a Hubbard U level of DFT.

Cell lengths 5.3888, 5.3641, 7.5854 Å; angles 90.00, 89.94, 90.00 degrees
Sites, in units of the cell vectors:
O1 0.2269 0.2228 0.4635
O2 0.2770 0.7264 0.4630
Nd1 0.5069 0.5282 0.7505
O3 0.9320 0.5084 0.2480
O4 0.2731 0.7228 0.0365
O5 0.4320 0.9916 0.7480
O6 0.7770 0.7736 0.9630
O7 0.7731 0.7772 0.5365
Al1 0.5000 0.0000 0.5000
Co1 0.5000 0.0000 0.0000
Nd2 0.4931 0.4718 0.2495
O8 0.5680 0.0084 0.2520
Co2 0.0000 0.5000 0.5000
Al2 0.0000 0.5000 0.0000
O9 0.7269 0.2772 0.9635
Nd3 0.0069 0.9718 0.2505
O10 0.7230 0.2736 0.5370
O11 0.2230 0.2264 0.0370
O12 0.0680 0.4916 0.7520
Nd4 0.9931 0.0282 0.7495

## Properties
Magnetic moment, μB/cell: 0.00
E_tot, eV/atom: -7.52
Calculated volume, A^3/atom: 11.0